Compound: Sr3CaV4O12
Source: Alexandria
Functional: GGA+U
Structure: optimized geometry

Unit cell a=5.425 b=4.016 c=10.911 alpha=90.00 beta=90.29 gamma=90.00
Sites, in units of the cell vectors:
1 Sr 0.000 0.000 0.000
2 Sr 0.498 0.000 0.750
3 Sr 0.502 0.000 0.250
4 Ca 0.000 0.000 0.500
5 V 0.003 0.500 0.254
6 V 0.500 0.500 0.000
7 V 0.500 0.500 0.500
8 V 0.997 0.500 0.746
9 O 0.001 0.000 0.741
10 O 0.216 0.500 0.600
11 O 0.235 0.500 0.109
12 O 0.262 0.500 0.857
13 O 0.282 0.500 0.355
14 O 0.500 0.000 0.000
15 O 0.500 0.000 0.500
16 O 0.718 0.500 0.645
17 O 0.738 0.500 0.143
18 O 0.765 0.500 0.891
19 O 0.784 0.500 0.400
20 O 0.999 0.000 0.259

Output
ρ = 4.9 g/cm3
DFT total energy = -7.3025 eV per atom
Crystal system = monoclinic
Space-group type = P2/m (10)